Entry 1:
## HRuRh2Au (PBE)

Data for a relaxed HRuRh2Au crystal.

abc: 3.9610 3.9610 3.9783
angles: 90.00 90.00 90.00
Last column: nearest neighbours and their distance in Å.
Element x y z (fractional)
Au1 0.5000 0.5000 0.5000  4 Ru 2.80, 8 Rh 2.81
Rh1 0.5000 0.0000 0.0000  2 H 1.98
Rh2 0.0000 0.5000 0.0000  2 H 1.98
Ru1 0.0000 0.0000 0.5000  2 H 1.99
H1 0.0000 0.0000 0.0000  4 Rh 1.98, 2 Ru 1.99

## Properties
- Total magnetic moment: 0.0 μB/cell
- Density of states at the Fermi level: 8.4 states/eV per cell
- Calculated volume: 12.484 Å³ per atom
- DFT total energy: -29.56 eV per cell
- Crystal system: tetragonal

---

Entry 2:
## TaZn3B (PBE)

Data for a relaxed TaZn3B crystal.

abc: 4.1465 4.1465 4.1465
angles: 90.00 90.00 90.00
Last column: nearest neighbours and their distance in Å.
Element x y z (fractional)
Zn1 0.5000 0.0000 0.0000  2 B 2.07
Zn2 0.0000 0.0000 0.5000  2 B 2.07
Zn3 0.0000 0.5000 0.0000  2 B 2.07
B1 0.0000 0.0000 0.0000  6 Zn 2.07
Ta1 0.5000 0.5000 0.5000  12 Zn 2.93

## Properties
- Relative energy among the computed polymorphs: 0 meV per atom
- Total magnetic moment: 0.0 μB/cell
- Density of states at the Fermi level: 2.3 states/eV per cell
- Calculated volume: 14.259 Å³ per atom
- DFT total energy: -18.75 eV per cell
- Crystal system: cubic

---

Entry 3:
## PmTm3 (PBE)

Data for a relaxed PmTm3 crystal.

abc: 3.6043 5.6024 6.2368
angles: 90.00 90.00 90.00
Last column: nearest neighbours and their distance in Å.
Element x y z (fractional)
Pm1 0.0000 0.5000 0.3348  10 Tm 3.49-3.62, 2 Pm 3.60
Tm1 0.0000 0.0000 0.9982  10 Tm 3.49-3.62, 2 Pm 3.50
Tm2 0.5000 0.0000 0.5013  8 Tm 3.48-3.62, 4 Pm 3.49
Tm3 0.5000 0.5000 0.8323  8 Tm 3.48-3.60, 4 Pm 3.59-3.62

## Properties
- Relative energy among the computed polymorphs: 6 meV per atom
- Total magnetic moment: 0.0 μB/cell
- Density of states at the Fermi level: 6.7 states/eV per cell
- Calculated volume: 31.484 Å³ per atom
- DFT total energy: -18.11 eV per cell
- Crystal system: orthorhombic

---

Entry 4:
## Ce2CoPb (PBE)

Data for a relaxed Ce2CoPb crystal.

abc: 3.3142 3.3142 8.5224
angles: 90.00 90.00 90.00
Last column: nearest neighbours and their distance in Å.
Element x y z (fractional)
Ce1 0.0000 0.0000 0.8024  4 Co 2.89
Ce2 0.0000 0.0000 0.1976  4 Co 2.89
Co1 0.5000 0.5000 0.0000  8 Ce 2.89
Pb1 0.5000 0.5000 0.5000  4 Pb 3.31, 8 Ce 3.48

## Properties
- Relative energy among the computed polymorphs: 0 meV per atom
- Total magnetic moment: 0.0 μB/cell
- Density of states at the Fermi level: 8.0 states/eV per cell
- Calculated volume: 23.402 Å³ per atom
- DFT total energy: -23.69 eV per cell
- Crystal system: tetragonal